No. 1
The following is a DFT calculation (PBE-GGA) of a geometry-optimized YSbPb2 structure.

```
YSbPb2
1.0
4.263 0.000 0.000
0.000 4.263 0.000
0.000 0.000 6.403
Y Sb Pb
1 1 2
Direct
0.000 0.000 0.000
0.000 0.000 0.500
0.500 0.500 0.248
0.500 0.500 0.752
```

Output
Fermi-level density of states	0.64	states/eV per atom
energy relative to the elements, uncorrected	-0.244	eV/atom
electronic total energy	-4.7446	eV per atom
magnetic moment	0.0	Bohr magnetons per cell
space-group type	P4/mmm, No. 123


No. 2
The following is a DFT calculation (PBE-GGA) of a geometry-optimized Y2Sb2Pb structure.

```
Y2Sb2Pb
1.0
8.371 0.000 0.000
0.000 8.371 0.000
0.000 0.000 4.115
Y Sb Pb
4 4 2
Direct
0.150 0.350 0.000
0.350 0.850 0.000
0.650 0.150 0.000
0.850 0.650 0.000
0.157 0.657 0.500
0.343 0.157 0.500
0.657 0.843 0.500
0.843 0.343 0.500
0.000 0.000 0.000
0.500 0.500 0.000
```

Output
Fermi-level density of states	0.73	states/eV per atom
energy relative to the elements, uncorrected	-0.659	eV/atom
electronic total energy	-5.6349	eV per atom
polymorph energy (0 for the lowest one)	0.0657	eV per atom
magnetic moment	0.0	Bohr magnetons per cell
space-group type	P4/mbm, No. 127


No. 3
The following is a DFT calculation (PBE-GGA) of a geometry-optimized YSbPb2 structure.

```
YSbPb2
1.0
1.751 1.011 11.262
-1.751 1.011 11.262
0.000 -2.022 11.262
Y Sb Pb
1 1 2
Direct
0.000 0.000 0.000
0.500 0.500 0.500
0.251 0.251 0.251
0.749 0.749 0.749
```

Output
Fermi-level density of states	0.83	states/eV per atom
energy relative to the elements, uncorrected	0.033	eV/atom
electronic total energy	-4.4683	eV per atom
magnetic moment	0.0	Bohr magnetons per cell
space-group type	R-3m, No. 166


No. 4
The following is a DFT calculation (PBE-GGA) of a geometry-optimized Y2SbPb structure.

```
Y2SbPb
1.0
2.091 1.207 8.164
-2.091 1.207 8.164
0.000 -2.415 8.164
Y Sb Pb
2 1 1
Direct
0.000 0.000 0.000
0.182 0.182 0.182
0.592 0.592 0.592
0.423 0.423 0.423
```

Output
Fermi-level density of states	0.54	states/eV per atom
energy relative to the elements, uncorrected	-0.704	eV/atom
electronic total energy	-5.8936	eV per atom
polymorph energy (0 for the lowest one)	0.1383	eV per atom
magnetic moment	0.0	Bohr magnetons per cell
space-group type	R3m, No. 160


Number 2 is which compound? Y2Sb2Pb


Which of these has the highest Fermi-level density of states? number 3


Number 2 is which compound? Y2Sb2Pb